Computed, not measured: a geometry-optimized Tm4GaRu3 structure at the PBE level of DFT.

Geometry as extended XYZ:
```
8
Lattice="-2.1224 2.1289 1.5832 -1.6734 -2.6475 1.3168 8.2780 0.1722 10.8656" Properties=species:S:1:pos:R:3 pbc="T T T"
Ru 0.1866 -0.2159 4.1860
Ru 2.2411 -0.1732 6.8828
Ru 4.2957 -0.1305 9.5796
Tm 7.1344 0.1484 9.3646
Tm 1.1436 0.0238 1.5011
Tm 3.1399 0.0653 4.1214
Tm 5.1381 0.1069 6.7442
Ga -1.8979 -0.2593 1.4500
```

Summary:
The calculation puts the final energy at -6.601 eV/atom. The value obtained for the volume is 158 Å³/cell. The formation energy from the elements is -0.509 eV/atom. Its magnetic moment is 0.00 μB/cell.